Compound: Li4Mn3Sn3Te2O16
Source: the Alexandria database
Functional: PBE with a Hubbard U
Structure: relaxed

Cell lengths 6.278, 6.280, 10.336 Å; angles 90.49, 90.00, 119.99 degrees
Each line ends with the local moment (μB).
Fractional positions:
Li 0.325 0.649 0.104  0.00
Li 0.002 0.004 0.012  0.00
Li 0.005 0.011 0.505  0.00
Li 0.667 0.333 0.591  0.00
Mn 0.169 0.338 0.790  4.61
Mn 0.332 0.165 0.288  3.97
Mn 0.833 0.165 0.288  3.97
Sn 0.830 0.661 0.284  0.03
Sn 0.170 0.837 0.784  0.01
Sn 0.667 0.837 0.784  0.01
Te 0.323 0.647 0.512  0.01
Te 0.642 0.285 0.016  0.02
O 0.497 0.995 0.677  0.00
O 0.337 0.675 0.891  0.02
O 0.002 0.005 0.685  0.02
O 0.009 0.019 0.193  -0.08
O 0.851 0.702 0.890  0.01
O 0.166 0.332 0.423  0.05
O 0.656 0.313 0.385  -0.08
O 0.510 0.020 0.140  0.07
O 0.157 0.860 0.390  -0.04
O 0.703 0.860 0.390  -0.04
O 0.044 0.536 0.648  0.01
O 0.492 0.536 0.648  0.01
O 0.500 0.466 0.177  -0.03
O 0.965 0.466 0.177  -0.03
O 0.317 0.145 0.912  0.02
O 0.827 0.145 0.912  0.02

Space group: Cm
M_tot: 13.00 μB per cell
Raw total energy: -172.56 eV/cell